[1]
A relaxed Ba3Cd7Ag2 crystal, computed with GGA-PBE.

Lattice parameters (Å, degrees): 6.2834 6.2834 10.5882 72.74 72.74 60.00
Closest atoms and distances in Å follow each position.
Atoms (fractional coordinates):
Ba 0.0000 0.0000 0.0000  6 Ag 3.63, 12 Cd 3.93
Ba 0.8554 0.8554 0.4339  12 Cd 3.69-3.74, 3 Ba 3.86
Ba 0.1446 0.1446 0.5661  12 Cd 3.69-3.74, 3 Ba 3.86
Cd 0.5000 0.5000 0.5000  6 Cd 3.19
Cd 0.9237 0.4198 0.2367  2 Ag 2.95-2.99, 5 Cd 3.12-3.19
Cd 0.4198 0.9237 0.2367  2 Ag 2.95-2.99, 5 Cd 3.12-3.19
Cd 0.4198 0.4198 0.2367  2 Ag 2.95-2.99, 5 Cd 3.12-3.19
Cd 0.0763 0.5802 0.7633  2 Ag 2.95-2.99, 5 Cd 3.12-3.19
Cd 0.5802 0.5802 0.7633  2 Ag 2.95-2.99, 5 Cd 3.12-3.19
Cd 0.5802 0.0763 0.7633  2 Ag 2.95-2.99, 5 Cd 3.12-3.19
Ag 0.6656 0.6656 0.0033  6 Cd 2.95-2.99
Ag 0.3344 0.3344 0.9967  6 Cd 2.95-2.99

Computed properties:
Electronic total energy   -1.745 eV/atom
Density   6.91 g cm⁻³
Symmetry   R-3m

=====

[2]
A relaxed BaCd3Ag crystal, computed with GGA-PBE.

Lattice parameters (Å, degrees): 5.3671 5.3671 5.3671 90.00 90.00 90.00
Closest atoms and distances in Å follow each position.
Atoms (fractional coordinates):
Ba 0.5000 0.5000 0.5000  12 Cd 3.80
Ag 0.0000 0.0000 0.0000  6 Cd 2.68
Cd 0.0000 0.5000 0.0000  2 Ag 2.68
Cd 0.0000 0.0000 0.5000  2 Ag 2.68
Cd 0.5000 0.0000 0.0000  2 Ag 2.68

Computed properties:
Distance to the lowest polymorph of the same formula   0.67 eV/f.u.
Electronic total energy   -1.619 eV/atom
Density   6.26 g cm⁻³
Symmetry   Pm-3m

=====

[3]
A relaxed Ba2CdAg crystal, computed with GGA-PBE.

Lattice parameters (Å, degrees): 6.6878 6.6878 5.7917 70.36 70.36 36.66
Closest atoms and distances in Å follow each position.
Atoms (fractional coordinates):
Ba 0.9734 0.9734 0.0526  4 Cd 3.60-3.74, 3 Ag 3.64-3.75, 2 Ba 3.73-3.77
Ba 0.7727 0.7727 0.7033  3 Cd 3.59-3.82, 4 Ag 3.60-3.70, 2 Ba 3.73-3.77
Ag 0.2124 0.2124 0.2602  2 Cd 2.97
Cd 0.5415 0.5415 0.4840  2 Ag 2.97

Computed properties:
Electronic total energy   -2.089 eV/atom
Density   5.68 g cm⁻³
Symmetry   Cm

=====

[4]
A relaxed Ba12CdAg5 crystal, computed with GGA-PBE.

Lattice parameters (Å, degrees): 10.1428 10.1428 10.1428 105.30 113.68 109.55
Closest atoms and distances in Å follow each position.
Atoms (fractional coordinates):
Ba 0.5523 0.8255 0.7268  4 Ag 3.55-3.65
Ba 0.4477 0.1745 0.2732  4 Ag 3.55-3.65
Ba 0.9014 0.1745 0.7268  4 Ag 3.55-3.65
Ba 0.0986 0.8255 0.2732  4 Ag 3.55-3.65
Ba 0.6938 0.6676 0.3613  3 Ag 3.41-3.52
Ba 0.3062 0.3324 0.6387  3 Ag 3.41-3.52
Ba 0.3062 0.6676 0.9738  3 Ag 3.41-3.52
Ba 0.6938 0.3324 0.0262  3 Ag 3.41-3.52
Ba 0.8118 0.5683 0.7565  2 Ag 3.48-3.72, 1 Cd 3.85
Ba 0.1882 0.4317 0.2435  2 Ag 3.48-3.72, 1 Cd 3.85
Ba 0.1882 0.9447 0.7565  2 Ag 3.48-3.72, 1 Cd 3.85
Ba 0.8118 0.0553 0.2435  2 Ag 3.48-3.72, 1 Cd 3.85
Cd 0.0000 0.5000 0.5000  8 Ba 3.85-3.97
Ag 0.6609 0.6609 0.0000  8 Ba 3.48-3.59, 1 Ag 3.77
Ag 0.3391 0.3391 0.0000  8 Ba 3.48-3.59, 1 Ag 3.77
Ag 0.5000 0.1177 0.6177  1 Ag 2.90
Ag 0.5000 0.8823 0.3823  1 Ag 2.90
Ag 0.0000 0.0000 0.0000  8 Ba 3.65-3.72, 2 Ag 3.97

Computed properties:
Electronic total energy   -2.294 eV/atom
Density   4.78 g cm⁻³
Symmetry   Immm

=====

Number 1: DOS at the Fermi energy 8.71 states/eV/cell, ΔE_f -256 meV per atom. Number 2: DOS at the Fermi energy 3.37 states/eV/cell, ΔE_f -116 meV per atom. Number 3: DOS at the Fermi energy 3.77 states/eV/cell, ΔE_f -186 meV per atom. Number 4: DOS at the Fermi energy 21.96 states/eV/cell, ΔE_f -169 meV per atom.